# 1
Below is a relaxed Ac2ReN crystal, with properties calculated at the PBE level.

Cell lengths 9.2559, 9.2559, 9.2559 Å; angles 22.09, 22.09, 22.09 degrees
Last column: nearest neighbours and their distance in Å.
Positions (direct):
Ac 0.1070 0.1070 0.1070  3 N 2.61, 1 Re 2.90
Ac 0.8930 0.8930 0.8930  3 N 2.61, 1 Re 2.90
Re 0.0000 0.0000 0.0000  2 Ac 2.90
N 0.5000 0.5000 0.5000  6 Ac 2.61

Values from the calculation:
Energy in eV/atom: -6.60

---

# 2
Below is a relaxed SrBiAs2O8 crystal, with properties calculated at the PBE level.

Cell lengths 5.4265, 5.4265, 7.7052 Å; angles 90.00, 90.00, 120.00 degrees
Last column: nearest neighbours and their distance in Å.
Positions (direct):
Sr 0.0000 0.0000 0.0000  12 O 2.82-3.13
Bi 0.0000 0.0000 0.5000  6 O 2.27
As 0.3333 0.6667 0.7698  4 O 1.69-1.73
As 0.6667 0.3333 0.2302  4 O 1.69-1.73
O 0.0702 0.3325 0.7024  1 As 1.73
O 0.2623 0.9298 0.7024  1 As 1.73
O 0.3325 0.2623 0.2977  1 As 1.73
O 0.3333 0.6667 0.9891  1 As 1.69
O 0.6667 0.3333 0.0109  1 As 1.69
O 0.6675 0.7377 0.7024  1 As 1.73
O 0.7377 0.0702 0.2977  1 As 1.73
O 0.9298 0.6675 0.2977  1 As 1.73

Values from the calculation:
Energy in eV/atom: -6.02

---

no.,formation energy without anion corrections (eV per atom)
1,0.644
2,-1.473